A plane-wave DFT calculation with PBE was carried out for an optimized crystal structure of Ba3MgIn.

Summary:
* calculated total energy: -9.43 eV per cell
* ΔE_f: 0.134 eV per atom
* offset from the most stable computed form: 0.346 eV per atom
* volume: 302.8 Å³/cell

Cell: 6.7152 6.7152 6.7152 Å, 90.00 90.00 90.00°
Closest atoms and distances in Å follow each position.
Positions (direct):
Ba 0.0000 0.0000 0.5000  2 In 3.36
Ba 0.0000 0.5000 0.0000  2 In 3.36
Ba 0.5000 0.0000 0.0000  2 In 3.36
Mg 0.5000 0.5000 0.5000  12 Ba 4.75
In 0.0000 0.0000 0.0000  6 Ba 3.36

A plane-wave DFT calculation with PBE was carried out for an optimized crystal structure of LaCu2Br.

Summary:
* calculated total energy: -16.19 eV per cell
* offset from the most stable computed form: 0.148 eV per atom
* uncorrected formation energy: -0.3484 eV/atom
* volume: 92.1 Å³/cell

Cell: 3.5197 3.5197 7.4374 Å, 90.00 90.00 90.00°
Closest atoms and distances in Å follow each position.
Positions (direct):
La 0.0000 0.0000 0.0000  1 Cu 2.74
Cu 0.0000 0.0000 0.6314  4 Cu 2.56, 1 La 2.74
Cu 0.5000 0.5000 0.7146  4 Cu 2.56
Br 0.5000 0.5000 0.2551  4 La 3.13, 1 Cu 3.42

A plane-wave DFT calculation with PBE was carried out for an optimized crystal structure of HoAs2Pd7.

Summary:
* calculated total energy: -53.89 eV per cell
* ΔE_f: -0.366 eV per atom
* offset from the most stable computed form: 0.232 eV per atom
* volume: 201.2 Å³/cell

Cell: 7.1079 7.1079 4.4729 Å, 90.00 90.00 117.09°
Closest atoms and distances in Å follow each position.
Positions (direct):
Ho 0.0000 0.0000 0.0000  10 Pd 2.78-3.01
As 0.3046 0.6954 0.5000  7 Pd 2.37-2.60
As 0.6954 0.3046 0.5000  7 Pd 2.37-2.60
Pd 0.0627 0.3072 0.5000  2 As 2.50-2.60, 2 Pd 2.74-2.77
Pd 0.2296 0.7704 0.0000  2 As 2.41
Pd 0.3072 0.0627 0.5000  2 As 2.50-2.60, 2 Pd 2.74-2.77
Pd 0.5000 0.5000 0.5000  2 As 2.37
Pd 0.6928 0.9373 0.5000  2 As 2.50-2.60, 2 Pd 2.74-2.77
Pd 0.7704 0.2296 0.0000  2 As 2.41
Pd 0.9373 0.6928 0.5000  2 As 2.50-2.60, 2 Pd 2.74-2.77

A plane-wave DFT calculation with PBE was carried out for an optimized crystal structure of BaVCd2.

Summary:
* calculated total energy: -45.94 eV per cell
* ΔE_f: 0.347 eV per atom
* offset from the most stable computed form: 0.000 eV per atom
* volume: 452.5 Å³/cell

Cell: 7.6774 7.6774 7.6774 Å, 90.00 90.00 90.00°
Closest atoms and distances in Å follow each position.
Positions (direct):
Ba 0.0000 0.0000 0.0000  8 Cd 3.32
Ba 0.0000 0.5000 0.5000  8 Cd 3.32
Ba 0.5000 0.0000 0.5000  8 Cd 3.32
Ba 0.5000 0.5000 0.0000  8 Cd 3.32
V 0.0000 0.0000 0.5000  8 Cd 3.32
V 0.0000 0.5000 0.0000  8 Cd 3.32
V 0.5000 0.0000 0.0000  8 Cd 3.32
V 0.5000 0.5000 0.5000  8 Cd 3.32
Cd 0.2500 0.2500 0.2500  4 Ba 3.32, 4 V 3.32
Cd 0.2500 0.2500 0.7500  4 Ba 3.32, 4 V 3.32
Cd 0.2500 0.7500 0.2500  4 Ba 3.32, 4 V 3.32
Cd 0.2500 0.7500 0.7500  4 Ba 3.32, 4 V 3.32
Cd 0.7500 0.2500 0.2500  4 Ba 3.32, 4 V 3.32
Cd 0.7500 0.2500 0.7500  4 Ba 3.32, 4 V 3.32
Cd 0.7500 0.7500 0.2500  4 Ba 3.32, 4 V 3.32
Cd 0.7500 0.7500 0.7500  4 Ba 3.32, 4 V 3.32

A plane-wave DFT calculation with PBE was carried out for an optimized crystal structure of FeAs2H2.

Summary:
* calculated total energy: -46.47 eV per cell
* offset from the most stable computed form: 0.000 eV per atom
* volume: 102.4 Å³/cell

Cell: 4.2077 4.2077 5.7856 Å, 90.00 90.00 90.00°
Closest atoms and distances in Å follow each position.
Positions (direct):
Fe 0.0000 0.0000 0.0000  2 H 2.51, 8 As 2.55
Fe 0.5000 0.5000 0.5000  2 H 2.51, 8 As 2.55
As 0.0000 0.5000 0.2500  4 H 2.36, 4 Fe 2.55
As 0.0000 0.5000 0.7500  4 H 2.36, 4 Fe 2.55
As 0.5000 0.0000 0.2500  4 H 2.36, 4 Fe 2.55
As 0.5000 0.0000 0.7500  4 H 2.36, 4 Fe 2.55
H 0.0000 0.0000 0.4330  1 H 0.78
H 0.0000 0.0000 0.5670  1 H 0.78
H 0.5000 0.5000 0.0670  1 H 0.78
H 0.5000 0.5000 0.9330  1 H 0.78

A plane-wave DFT calculation with PBE was carried out for an optimized crystal structure of HoTlAu.

Summary:
* calculated total energy: -23.97 eV per cell
* ΔE_f: -0.588 eV per atom
* volume: 142.5 Å³/cell

Cell: 5.0905 5.0905 6.3486 Å, 90.00 90.00 120.00°
Closest atoms and distances in Å follow each position.
Positions (direct):
Ho 0.3333 0.6667 0.2500  5 Au 2.94-3.17
Ho 0.6667 0.3333 0.7500  5 Au 2.94-3.17
Tl 0.0000 0.0000 0.0000  2 Tl 3.17, 6 Ho 3.34, 6 Au 3.34
Tl 0.0000 0.0000 0.5000  2 Tl 3.17, 6 Au 3.34, 6 Ho 3.34
Au 0.3333 0.6667 0.7500  5 Ho 2.94-3.17
Au 0.6667 0.3333 0.2500  5 Ho 2.94-3.17

A plane-wave DFT calculation with PBE was carried out for an optimized crystal structure of Cr2InAs.

Summary:
* calculated total energy: -99.27 eV per cell
* ΔE_f: 0.454 eV per atom
* offset from the most stable computed form: 0.308 eV per atom
* volume: 304.1 Å³/cell

Cell: 7.1580 7.1580 5.9347 Å, 90.00 90.00 90.00°
Closest atoms and distances in Å follow each position.
Positions (direct):
Cr 0.2054 0.2500 0.1250  2 As 2.43
Cr 0.2500 0.7054 0.3750  2 As 2.43
Cr 0.2500 0.7946 0.8750  2 As 2.43
Cr 0.2946 0.2500 0.6250  2 As 2.43
Cr 0.7054 0.7500 0.6250  2 As 2.43
Cr 0.7500 0.2054 0.8750  2 As 2.43
Cr 0.7500 0.2946 0.3750  2 As 2.43
Cr 0.7946 0.7500 0.1250  2 As 2.43
In 0.0000 0.0000 0.5000  4 Cr 2.86, 2 As 2.97
In 0.0000 0.5000 0.7500  4 Cr 2.86, 2 As 2.97
In 0.5000 0.0000 0.2500  4 Cr 2.86, 2 As 2.97
In 0.5000 0.5000 0.0000  4 Cr 2.86, 2 As 2.97
As 0.0000 0.0000 0.0000  4 Cr 2.43
As 0.0000 0.5000 0.2500  4 Cr 2.43
As 0.5000 0.0000 0.7500  4 Cr 2.43
As 0.5000 0.5000 0.5000  4 Cr 2.43

Fermi-level density of states, record by record: 8.71 3.06 4.22 4.82 1.80 0.89 3.12 states/eV/f.u.